# 1
The following is a DFT calculation (GGA-PBE) of crystalline Ac3Zn2CdPd9 at its relaxed geometry.

Total magnetization = 0.0000 μB per atom
Final energy = -4.581 eV/atom

Cell: 7.4978 7.4978 6.9713 Å, 90.00 90.00 120.00°
Closest atoms and distances in Å follow each position.
Fractional positions:
1 Ac 0.0000 0.0000 0.0000  6 Pd 3.25, 2 Cd 3.49
2 Ac 0.3333 0.6667 0.6639  6 Pd 3.10-3.19, 1 Zn 3.36
3 Ac 0.6667 0.3333 0.3361  6 Pd 3.10-3.19, 1 Zn 3.36
4 Zn 0.3333 0.6667 0.1465  6 Pd 2.39-2.40
5 Zn 0.6667 0.3333 0.8535  6 Pd 2.39-2.40
6 Cd 0.0000 0.0000 0.5000  6 Pd 2.58
7 Pd 0.0000 0.5000 0.0000  2 Zn 2.39
8 Pd 0.1765 0.3531 0.3294  1 Zn 2.40, 1 Cd 2.58
9 Pd 0.1765 0.8235 0.3294  1 Zn 2.40, 1 Cd 2.58
10 Pd 0.3531 0.1765 0.6706  1 Zn 2.40, 1 Cd 2.58
11 Pd 0.5000 0.0000 0.0000  2 Zn 2.39
12 Pd 0.5000 0.5000 0.0000  2 Zn 2.39
13 Pd 0.6469 0.8235 0.3294  1 Zn 2.40, 1 Cd 2.58
14 Pd 0.8235 0.1765 0.6706  1 Zn 2.40, 1 Cd 2.58
15 Pd 0.8235 0.6469 0.6706  1 Zn 2.40, 1 Cd 2.58



# 2
The following is a DFT calculation (GGA-PBE) of crystalline Tb3SmZn at its relaxed geometry.

Total magnetization = 0.0000 μB per atom
Relative energy among the computed polymorphs = 0 kJ/mol of formula units
Final energy = -4.083 eV/atom

Cell: 14.7182 14.7182 5.4422 Å, 90.42 90.42 14.22°
Closest atoms and distances in Å follow each position.
Fractional positions:
1 Tb 0.0448 0.0448 0.2357  6 Zn 3.07-3.34
2 Tb 0.1223 0.1223 0.7436  2 Zn 3.04
3 Tb 0.3431 0.3431 0.7534  8 Tb 3.42-3.75, 4 Sm 3.49-3.73
4 Tb 0.6569 0.6569 0.2466  8 Tb 3.42-3.75, 4 Sm 3.49-3.73
5 Tb 0.8777 0.8777 0.2564  2 Zn 3.04
6 Tb 0.9552 0.9552 0.7643  6 Zn 3.07-3.34
7 Sm 0.2683 0.2683 0.2511  6 Sm 3.44-3.64, 6 Tb 3.49-3.73
8 Sm 0.7317 0.7317 0.7489  6 Sm 3.44-3.64, 6 Tb 3.49-3.73
9 Zn 0.4608 0.4608 0.2784  8 Tb 3.04-3.34, 1 Zn 3.31
10 Zn 0.5392 0.5392 0.7216  8 Tb 3.04-3.34, 1 Zn 3.31



Number 1: ΔH_f (0 K) -0.413 eV/atom, V 22.63 A^3/atom. Number 2: ΔH_f (0 K) -0.106 eV/atom, V 28.97 A^3/atom.